# Tl2Ag2Se, optimized geometry, DFT PBE-GGA
# SG ... No. 139
# Offset from the most stable computed form ... 0.062 eV per atom
# Total moment ... 0.0 μB/f.u.
# Final energy ... -13.73 eV per cell
# Formation energy from raw total energies ... 0.037 eV/atom
data_Tl2Ag2Se
_cell_length_a 9.2130
_cell_length_b 9.2130
_cell_length_c 9.2130
_cell_angle_alpha 155.69
_cell_angle_beta 155.69
_cell_angle_gamma 34.64
_space_group_name_H-M_alt 'P 1'
_space_group_IT_number 1
_space_group_name_Hall 'P 1'
loop_
_atom_site_label
_atom_site_type_symbol
_atom_site_fract_x
_atom_site_fract_y
_atom_site_fract_z
Tl1 Tl 0.0950 0.0950 0.0000
Tl2 Tl 0.9050 0.9050 0.0000
Ag1 Ag 0.2500 0.7500 0.5000
Ag2 Ag 0.7500 0.2500 0.5000
Se1 Se 0.5000 0.5000 0.0000